Density functional theory data (PBE) for an optimized crystal structure of Y4Ho5Er.

## Properties
ΔH_f (0 K): 0.057 eV per atom
crystal system: triclinic
volume: 318.4 Å³/cell
N(E_F): 18.68 states/eV per cell
polymorph energy (0 for the lowest one): 0 meV/atom

Unit cell a=3.5501 b=6.7528 c=13.8698 alpha=82.62 beta=89.94 gamma=75.07
Last column: nearest neighbours and their distance in Å.
Space group P-1 (No. 2)
Asymmetric unit:
Y 0.1216 0.2979 0.3072 [2 per cell]  1 Er 3.23, 4 Ho 3.44-3.57, 4 Y 3.44-3.55
Y 0.1818 0.1716 0.7113 [2 per cell]  1 Er 3.41, 5 Y 3.44-3.64, 5 Ho 3.51-3.79
Ho 0.1842 0.1255 0.0837 [2 per cell]  3 Y 3.44-3.70, 9 Ho 3.48-3.60
Ho 0.4625 0.5822 0.1141 [2 per cell]  8 Ho 3.47-3.60, 4 Y 3.49-3.59
Ho 0.5000 0.5000 0.5000 [1 per cell]  2 Er 3.39, 2 Ho 3.55, 4 Y 3.57-3.64
Er 0.0000 0.0000 0.5000 [1 per cell]  4 Y 3.23-3.41, 2 Ho 3.39, 2 Er 3.55

---

Density functional theory data (PBE) for an optimized crystal structure of Y2Ho7Er3.

## Properties
ΔH_f (0 K): 0.117 eV per atom
crystal system: orthorhombic
volume: 755.0 Å³/cell
N(E_F): 36.72 states/eV per cell
polymorph energy (0 for the lowest one): 37 meV/atom

Unit cell a=5.6447 b=37.4597 c=3.5704 alpha=90.00 beta=90.00 gamma=90.00
Last column: nearest neighbours and their distance in Å.
Space group Cmmm (No. 65)
Asymmetric unit:
Y 0.0000 0.1477 0.0000 [4 per cell]  3 Ho 3.13-3.37
Ho 0.0000 0.0000 0.0000 [2 per cell]  6 Ho 3.21-3.57, 4 Er 3.34
Ho 0.0000 0.0714 0.5000 [4 per cell]  8 Ho 3.21-3.57, 2 Y 3.37
Ho 0.0000 0.2312 0.0000 [4 per cell]  1 Y 3.13, 2 Ho 3.16
Ho 0.0000 0.4085 0.0000 [4 per cell]  6 Ho 3.42-3.57, 2 Y 3.52
Er 0.0000 0.3145 0.5000 [4 per cell]  2 Er 3.57, 8 Ho 3.60-3.95, 4 Y 3.63
Er 0.0000 0.5000 0.5000 [2 per cell]  4 Ho 3.34, 2 Er 3.57

---

Density functional theory data (PBE) for an optimized crystal structure of Y5HoEr5.

## Properties
ΔH_f (0 K): 0.306 eV per atom
crystal system: hexagonal
volume: 363.3 Å³/cell
N(E_F): 22.05 states/eV per cell
polymorph energy (0 for the lowest one): 152 meV/atom

Unit cell a=6.0462 b=6.0462 c=11.4765 alpha=90.00 beta=90.00 gamma=120.00
Last column: nearest neighbours and their distance in Å.
Space group P-6m2 (No. 187)
Asymmetric unit:
Y 0.0000 0.0000 0.0000 [1 per cell]  2 Er 3.05
Y 0.3333 0.6667 0.3174 [2 per cell]  9 Er 3.54-3.68, 1 Ho 3.64, 3 Y 3.94
Y 0.6667 0.3333 0.1585 [2 per cell]  7 Y 3.64-3.94, 3 Er 3.70, 3 Ho 3.94
Ho 0.3333 0.6667 0.0000 [1 per cell]  5 Y 3.49-3.64
Er 0.0000 0.0000 0.2657 [2 per cell]  1 Y 3.05, 3 Er 3.21
Er 0.3355 0.1677 0.5000 [3 per cell]  6 Er 3.00-3.21

---

Density functional theory data (PBE) for an optimized crystal structure of Y6Ho5Er.

## Properties
ΔH_f (0 K): 0.024 eV per atom
crystal system: monoclinic
volume: 756.6 Å³/cell
N(E_F): 35.18 states/eV per cell

Unit cell a=6.1453 b=10.6297 c=11.7609 alpha=90.00 beta=99.98 gamma=90.00
Last column: nearest neighbours and their distance in Å.
Space group C2/m (No. 12)
Asymmetric unit:
Y 0.2501 0.0000 0.2498 [4 per cell]  1 Er 3.54, 6 Y 3.54-3.55, 5 Ho 3.55
Y 0.2501 0.1666 0.7502 [8 per cell]  6 Y 3.54-3.55, 5 Ho 3.54-3.55, 1 Er 3.54
Ho 0.0000 0.0000 0.5000 [2 per cell]  6 Ho 3.54-3.55, 6 Y 3.55
Ho 0.0000 0.1667 0.0000 [4 per cell]  3 Er 3.54-3.55, 3 Ho 3.54-3.55, 6 Y 3.54-3.55
Ho 0.0000 0.3334 0.5000 [4 per cell]  6 Ho 3.54-3.55, 6 Y 3.55
Er 0.0000 0.5000 0.0000 [2 per cell]  6 Y 3.54, 6 Ho 3.54-3.55

---

Density functional theory data (PBE) for an optimized crystal structure of Y12Ho2Er5.

## Properties
ΔH_f (0 K): 0.127 eV per atom
crystal system: monoclinic
volume: 1233.7 Å³/cell
N(E_F): 61.09 states/eV per cell
polymorph energy (0 for the lowest one): 38 meV/atom

Unit cell a=15.6059 b=9.2565 c=8.5419 alpha=90.00 beta=91.15 gamma=90.00
Last column: nearest neighbours and their distance in Å.
Space group C2/m (No. 12)
Asymmetric unit:
Y 0.0581 0.0000 0.3331 [4 per cell]  2 Er 3.37-3.54, 2 Ho 3.38, 7 Y 3.40-3.49
Y 0.0870 0.5000 0.8802 [4 per cell]  5 Y 3.43-3.63, 3 Er 3.44-3.49, 2 Ho 3.46
Y 0.1274 0.1931 0.6626 [8 per cell]  4 Er 3.37-3.72, 5 Y 3.40-3.57, 1 Ho 3.54
Y 0.1533 0.3190 0.2395 [8 per cell]  4 Y 3.35-3.63, 1 Ho 3.39, 4 Er 3.50-3.70
Ho 0.0000 0.1753 0.0000 [4 per cell]  1 Ho 3.25, 8 Y 3.38-3.54, 2 Er 3.50
Er 0.0000 0.5000 0.5000 [2 per cell]  10 Y 3.49-3.72, 2 Er 3.65
Er 0.1991 0.0000 0.0137 [4 per cell]  8 Y 3.44-3.65, 2 Ho 3.50, 1 Er 3.67
Er 0.2314 0.5000 0.5733 [4 per cell]  8 Y 3.37-3.51, 2 Er 3.65-3.67

---

Density functional theory data (PBE) for an optimized crystal structure of Y12Ho7Er.

## Properties
ΔH_f (0 K): 0.285 eV per atom
crystal system: trigonal
volume: 1938.3 Å³/cell
N(E_F): 58.06 states/eV per cell
polymorph energy (0 for the lowest one): 0 meV/atom

Unit cell a=12.8088 b=12.8088 c=13.6417 alpha=90.00 beta=90.00 gamma=120.00
Last column: nearest neighbours and their distance in Å.
Space group R-3 (No. 148, hexagonal axes)
Asymmetric unit:
Y 0.0033 0.5653 0.2477 [18 per cell]  3 Ho 3.33-3.55, 3 Y 3.37-3.57
Y 0.0683 0.2004 0.8502 [18 per cell]  2 Ho 3.05-3.07, 2 Y 3.09-3.37
Ho 0.0000 0.0000 0.0000 [3 per cell]  6 Y 3.05
Ho 0.0686 0.8698 0.3455 [18 per cell]  2 Y 3.07-3.33, 1 Er 3.08, 1 Ho 3.10
Er 0.0000 0.0000 0.5000 [3 per cell]  6 Ho 3.08

---

Density functional theory data (PBE) for an optimized crystal structure of Y3Ho5Er.

## Properties
ΔH_f (0 K): 0.173 eV per atom
crystal system: monoclinic
volume: 1158.5 Å³/cell
N(E_F): 55.37 states/eV per cell
polymorph energy (0 for the lowest one): 114 meV/atom

Unit cell a=16.2481 b=6.6772 c=11.2767 alpha=90.00 beta=108.75 gamma=90.00
Last column: nearest neighbours and their distance in Å.
Space group C2/c (No. 15)
Asymmetric unit:
Y 0.0000 0.0000 0.0000 [4 per cell]  2 Er 3.20, 2 Ho 3.53
Y 0.2359 0.3747 0.3527 [8 per cell]  7 Ho 3.33-3.55, 1 Y 3.61
Ho 0.0000 0.3184 0.7500 [4 per cell]  1 Er 3.04, 2 Ho 3.05
Ho 0.1071 0.4938 0.5440 [8 per cell]  5 Ho 3.30-3.58, 4 Y 3.46-3.69, 1 Er 3.67
Ho 0.1755 0.1208 0.8759 [8 per cell]  1 Ho 3.05, 2 Y 3.33-3.36
Er 0.0000 0.2263 0.2500 [4 per cell]  1 Ho 3.04, 2 Y 3.20

---

Density functional theory data (PBE) for an optimized crystal structure of YHo12Er2.

## Properties
ΔH_f (0 K): 0.112 eV per atom
crystal system: monoclinic
volume: 472.9 Å³/cell
N(E_F): 27.03 states/eV per cell

Unit cell a=3.5643 b=5.5680 c=23.8841 alpha=90.00 beta=93.82 gamma=90.00
Last column: nearest neighbours and their distance in Å.
Space group P2/m (No. 10)
Asymmetric unit:
Y 0.0000 0.0000 0.0000 [1 per cell]  2 Y 3.56, 12 Ho 3.67-3.72
Ho 0.0892 0.5000 0.1929 [2 per cell]  9 Ho 3.25-3.57
Ho 0.1752 0.5000 0.3291 [2 per cell]  7 Ho 3.25-3.56, 4 Er 3.49-3.50
Ho 0.2169 0.0000 0.4217 [2 per cell]  8 Ho 3.35-3.56
Ho 0.2738 0.5000 0.5557 [2 per cell]  10 Ho 3.19-3.56
Ho 0.4383 0.0000 0.8631 [2 per cell]  8 Ho 3.25-3.57, 1 Er 3.45
Ho 0.4690 0.5000 0.9333 [2 per cell]  5 Ho 3.18-3.50
Er 0.3478 0.0000 0.7185 [2 per cell]  7 Ho 3.45-3.79, 2 Er 3.56

---

Density functional theory data (PBE) for an optimized crystal structure of Y3Ho2Er6.

## Properties
ΔH_f (0 K): 0.280 eV per atom
crystal system: tetragonal
volume: 726.2 Å³/cell
N(E_F): 35.12 states/eV per cell

Unit cell a=4.6991 b=4.6991 c=32.8873 alpha=90.00 beta=90.00 gamma=90.00
Last column: nearest neighbours and their distance in Å.
Space group I4/mmm (No. 139)
Asymmetric unit:
Y 0.0000 0.0000 0.0000 [2 per cell]  8 Ho 3.65
Y 0.0000 0.0000 0.2022 [4 per cell]  9 Er 3.34-3.57
Ho 0.0000 0.0000 0.4538 [4 per cell]  1 Ho 3.04, 4 Er 3.39
Er 0.0000 0.0000 0.3068 [4 per cell]  5 Y 3.34-3.44, 4 Er 3.35
Er 0.0000 0.5000 0.1206 [8 per cell]  6 Er 3.32-3.35, 2 Ho 3.39, 2 Y 3.57

---

Density functional theory data (PBE) for an optimized crystal structure of Y7Ho2Er.

## Properties
ΔH_f (0 K): 0.118 eV per atom
crystal system: monoclinic
volume: 640.3 Å³/cell
N(E_F): 33.35 states/eV per cell
polymorph energy (0 for the lowest one): 0 meV/atom

Unit cell a=6.1529 b=29.6866 c=3.5056 alpha=90.00 beta=90.32 gamma=90.00
Last column: nearest neighbours and their distance in Å.
Space group C2/m (No. 12)
Asymmetric unit:
Y 0.0000 0.0000 0.0000 [2 per cell]  6 Y 3.46-3.51, 4 Er 3.53-3.55
Y 0.0000 0.2078 0.5000 [4 per cell]  6 Ho 3.46-3.58, 4 Y 3.51-3.64
Y 0.2461 0.1000 0.2685 [8 per cell]  1 Ho 3.28, 8 Y 3.44-3.66, 1 Er 3.45
Ho 0.0000 0.3084 0.0000 [4 per cell]  8 Y 3.28-3.58, 2 Ho 3.51
Er 0.0000 0.5000 0.5000 [2 per cell]  8 Y 3.45-3.55, 2 Er 3.51

---

Density functional theory data (PBE) for an optimized crystal structure of YHo2Er3.

## Properties
ΔH_f (0 K): 0.001 eV per atom
crystal system: monoclinic
volume: 752.7 Å³/cell
N(E_F): 39.34 states/eV per cell
polymorph energy (0 for the lowest one): 0 meV/atom

Unit cell a=21.7806 b=3.6082 c=11.1485 alpha=90.00 beta=120.78 gamma=90.00
Last column: nearest neighbours and their distance in Å.
Space group C2/m (No. 12)
Asymmetric unit:
Y 0.1111 0.0000 0.4860 [4 per cell]  5 Er 3.47-3.61, 5 Ho 3.48-3.61, 2 Y 3.61
Ho 0.0558 0.5000 0.6827 [4 per cell]  3 Er 3.47, 4 Y 3.50-3.61, 5 Ho 3.52-3.61
Ho 0.2227 0.0000 0.8477 [4 per cell]  6 Ho 3.47-3.61, 5 Er 3.48-3.60, 1 Y 3.48
Er 0.0552 0.5000 0.1787 [4 per cell]  9 Er 3.44-3.61, 1 Ho 3.47, 2 Y 3.49
Er 0.1111 0.0000 0.9866 [4 per cell]  7 Er 3.46-3.61, 5 Ho 3.47-3.60
Er 0.2215 0.0000 0.3465 [4 per cell]  7 Er 3.46-3.61, 3 Y 3.47-3.61, 2 Ho 3.48

---

Density functional theory data (PBE) for an optimized crystal structure of YHo7Er2.

## Properties
ΔH_f (0 K): 0.023 eV per atom
crystal system: triclinic
volume: 309.9 Å³/cell
N(E_F): 14.70 states/eV per cell
polymorph energy (0 for the lowest one): 0 meV/atom

Unit cell a=6.1015 b=6.1131 c=9.3202 alpha=102.62 beta=109.01 gamma=99.60
Last column: nearest neighbours and their distance in Å.
Space group P-1 (No. 2)
Asymmetric unit:
Y 0.0000 0.0000 0.0000 [1 per cell]  10 Ho 3.53, 2 Er 3.53
Ho 0.0000 0.5000 0.5000 [1 per cell]  4 Er 3.52-3.53, 8 Ho 3.52-3.53
Ho 0.2002 0.0004 0.4007 [2 per cell]  8 Ho 3.51-3.53, 3 Er 3.52-3.53, 1 Y 3.53
Ho 0.2009 0.5002 0.8994 [2 per cell]  3 Er 3.51-3.53, 7 Ho 3.52-3.54, 2 Y 3.53
Ho 0.4000 0.9999 0.7992 [2 per cell]  8 Ho 3.51-3.54, 2 Er 3.52-3.53, 2 Y 3.53
Er 0.4002 0.5011 0.3005 [2 per cell]  10 Ho 3.51-3.53, 1 Er 3.52, 1 Y 3.53

---

Which formula does entry 11 have?
YHo2Er3